P.
An optimized crystal structure of TmTcPd, computed with GGA-PBE.

a = 4.5074 Å, b = 4.5074 Å, c = 4.5074 Å
α = 60.00°, β = 60.00°, γ = 60.00°
With the nearest neighbours (Å) after each atom.
Fractional coordinates of all 3 atoms:
Tm1 0.0000 0.0000 0.0000  4 Pd 2.76, 4 Tc 2.76
Tc1 0.2500 0.2500 0.2500  4 Tm 2.76
Pd1 0.7500 0.7500 0.7500  4 Tm 2.76

Calculated values
M_tot: 2.30 μB/cell
mass density: 9.575 g/cm³
space group: No. 216


Q.
An optimized crystal structure of TmTcPd, computed with GGA-PBE.

a = 4.5098 Å, b = 4.5098 Å, c = 4.5098 Å
α = 60.00°, β = 60.00°, γ = 60.00°
With the nearest neighbours (Å) after each atom.
Fractional coordinates of all 3 atoms:
Tm1 0.0000 0.0000 0.0000  4 Pd 2.76
Tc1 0.5000 0.5000 0.5000  4 Pd 2.76
Pd1 0.7500 0.7500 0.7500  4 Tc 2.76, 4 Tm 2.76

Calculated values
M_tot: 2.26 μB/cell
mass density: 9.559 g/cm³
space group: No. 216


Of them, the most stable is Q and the least stable is P.


P.
An optimized crystal structure of UTcPd, computed with GGA-PBE.

a = 4.4388 Å, b = 4.4388 Å, c = 4.4388 Å
α = 60.00°, β = 60.00°, γ = 60.00°
With the nearest neighbours (Å) after each atom.
Fractional coordinates of all 3 atoms:
U1 0.0000 0.0000 0.0000  4 Pd 2.72
Tc1 0.5000 0.5000 0.5000  4 Pd 2.72
Pd1 0.7500 0.7500 0.7500  4 Tc 2.72, 4 U 2.72

Calculated values
M_tot: 0.51 μB/cell
mass density: 11.881 g/cm³
space group: No. 216


Q.
An optimized crystal structure of UTcPd, computed with GGA-PBE.

a = 4.4332 Å, b = 4.4332 Å, c = 4.4332 Å
α = 60.00°, β = 60.00°, γ = 60.00°
With the nearest neighbours (Å) after each atom.
Fractional coordinates of all 3 atoms:
U1 0.0000 0.0000 0.0000  4 Pd 2.71, 4 Tc 2.71
Tc1 0.2500 0.2500 0.2500  4 U 2.71
Pd1 0.7500 0.7500 0.7500  4 U 2.71

Calculated values
M_tot: 0.92 μB/cell
mass density: 11.925 g/cm³
space group: No. 216


Of them, the most stable is Q and the least stable is P.


P.
An optimized crystal structure of TePd7, computed with GGA-PBE.

a = 2.9046 Å, b = 2.9046 Å, c = 41.4887 Å
α = 90.00°, β = 90.00°, γ = 90.00°
With the nearest neighbours (Å) after each atom.
Fractional coordinates of all 16 atoms:
Te1 0.2500 0.2500 0.1629  4 Pd 2.86, 4 Te 2.90
Te2 0.7500 0.7500 0.8371  4 Pd 2.86, 4 Te 2.90
Pd1 0.2500 0.2500 0.2576  12 Pd 2.76-2.90
Pd2 0.2500 0.2500 0.3461  12 Pd 2.75-2.90
Pd3 0.2500 0.2500 0.4341  12 Pd 2.75-2.90
Pd4 0.2500 0.2500 0.5220  12 Pd 2.75-2.90
Pd5 0.2500 0.2500 0.6098  12 Pd 2.75-2.90
Pd6 0.2500 0.2500 0.6979  12 Pd 2.75-2.90
Pd7 0.2500 0.2500 0.7890  8 Pd 2.82-2.90, 4 Te 2.86
Pd8 0.7500 0.7500 0.2110  8 Pd 2.82-2.90, 4 Te 2.86
Pd9 0.7500 0.7500 0.3021  12 Pd 2.75-2.90
Pd10 0.7500 0.7500 0.3902  12 Pd 2.75-2.90
Pd11 0.7500 0.7500 0.4780  12 Pd 2.75-2.90
Pd12 0.7500 0.7500 0.5659  12 Pd 2.75-2.90
Pd13 0.7500 0.7500 0.6539  12 Pd 2.75-2.90
Pd14 0.7500 0.7500 0.7424  12 Pd 2.76-2.90

Calculated values
mass density: 8.279 g/cm³
space group: No. 129


Q.
An optimized crystal structure of TePd7, computed with GGA-PBE.

a = 2.9160 Å, b = 3.8719 Å, c = 25.5855 Å
α = 90.00°, β = 90.00°, γ = 90.00°
With the nearest neighbours (Å) after each atom.
Fractional coordinates of all 16 atoms:
Te1 0.0000 0.0000 0.0000  5 Pd 2.73-2.75, 2 Te 2.92
Te2 0.5000 0.5000 0.1917  5 Pd 2.73-2.75, 2 Te 2.92
Pd1 0.0000 0.0000 0.2409  4 Te 2.73, 7 Pd 2.84-2.92
Pd2 0.0000 0.0000 0.3538  12 Pd 2.75-2.92
Pd3 0.0000 0.0000 0.4613  12 Pd 2.75-2.92
Pd4 0.0000 0.0000 0.5686  12 Pd 2.75-2.92
Pd5 0.0000 0.0000 0.6763  12 Pd 2.75-2.92
Pd6 0.0000 0.0000 0.7847  12 Pd 2.76-2.92
Pd7 0.0000 0.0000 0.8926  1 Te 2.75, 11 Pd 2.76-2.92
Pd8 0.5000 0.5000 0.2990  1 Te 2.75, 11 Pd 2.76-2.92
Pd9 0.5000 0.5000 0.4067  12 Pd 2.76-2.92
Pd10 0.5000 0.5000 0.5150  12 Pd 2.75-2.92
Pd11 0.5000 0.5000 0.6226  12 Pd 2.75-2.92
Pd12 0.5000 0.5000 0.7300  12 Pd 2.75-2.92
Pd13 0.5000 0.5000 0.8377  12 Pd 2.75-2.92
Pd14 0.5000 0.5000 0.9507  4 Te 2.73, 7 Pd 2.84-2.92

Calculated values
mass density: 10.031 g/cm³
space group: No. 25


Of them, the most stable is Q and the least stable is P.


P.
An optimized crystal structure of TePd10, computed with GGA-PBE.

a = 2.8867 Å, b = 3.8855 Å, c = 39.7540 Å
α = 90.00°, β = 90.00°, γ = 90.00°
With the nearest neighbours (Å) after each atom.
Fractional coordinates of all 22 atoms:
Te1 0.0000 0.0000 0.0000  5 Pd 2.74-2.76, 2 Te 2.89
Te2 0.5000 0.5000 0.2710  5 Pd 2.73-2.76, 2 Te 2.89
Pd1 0.0000 0.0000 0.3030  4 Te 2.73, 7 Pd 2.84-2.90
Pd2 0.0000 0.0000 0.3760  12 Pd 2.76-2.90
Pd3 0.0000 0.0000 0.4454  12 Pd 2.75-2.89
Pd4 0.0000 0.0000 0.5145  12 Pd 2.75-2.89
Pd5 0.0000 0.0000 0.5836  12 Pd 2.74-2.89
Pd6 0.0000 0.0000 0.6526  12 Pd 2.74-2.89
Pd7 0.0000 0.0000 0.7215  12 Pd 2.74-2.89
Pd8 0.0000 0.0000 0.7908  12 Pd 2.75-2.89
Pd9 0.0000 0.0000 0.8607  12 Pd 2.77-2.89
Pd10 0.0000 0.0000 0.9305  1 Te 2.76, 11 Pd 2.77-2.89
Pd11 0.5000 0.5000 0.3405  1 Te 2.76, 11 Pd 2.77-2.89
Pd12 0.5000 0.5000 0.4102  12 Pd 2.77-2.89
Pd13 0.5000 0.5000 0.4800  12 Pd 2.75-2.89
Pd14 0.5000 0.5000 0.5492  12 Pd 2.74-2.89
Pd15 0.5000 0.5000 0.6181  12 Pd 2.74-2.89
Pd16 0.5000 0.5000 0.6871  12 Pd 2.74-2.89
Pd17 0.5000 0.5000 0.7562  12 Pd 2.75-2.89
Pd18 0.5000 0.5000 0.8255  12 Pd 2.76-2.89
Pd19 0.5000 0.5000 0.8950  12 Pd 2.76-2.90
Pd20 0.5000 0.5000 0.9679  4 Te 2.74, 7 Pd 2.84-2.90

Calculated values
mass density: 8.877 g/cm³
space group: No. 25


Q.
An optimized crystal structure of TePd10, computed with GGA-PBE.

a = 4.7782 Å, b = 4.7782 Å, c = 30.6357 Å
α = 90.41°, β = 90.41°, γ = 48.84°
With the nearest neighbours (Å) after each atom.
Fractional coordinates of all 22 atoms:
Te1 0.1563 0.1563 0.2000  6 Pd 2.69-2.71
Te2 0.8437 0.8437 0.8000  6 Pd 2.69-2.71
Pd1 0.0470 0.0470 0.6882  12 Pd 2.76-2.92
Pd2 0.0500 0.0500 0.3990  12 Pd 2.76-2.80
Pd3 0.1463 0.1463 0.7797  3 Te 2.69-2.71, 6 Pd 2.79-2.92
Pd4 0.1503 0.1503 0.4854  12 Pd 2.76-2.80
Pd5 0.2492 0.2492 0.5718  12 Pd 2.76-2.80
Pd6 0.2543 0.2543 0.2840  1 Te 2.71, 11 Pd 2.76-2.91
Pd7 0.3480 0.3480 0.6585  12 Pd 2.77-2.87
Pd8 0.3507 0.3507 0.3703  12 Pd 2.77-2.82
Pd9 0.4492 0.4492 0.7477  2 Te 2.71, 9 Pd 2.76-2.87
Pd10 0.4508 0.4508 0.4570  12 Pd 2.76-2.80
Pd11 0.5492 0.5492 0.5430  12 Pd 2.76-2.80
Pd12 0.5508 0.5508 0.2523  2 Te 2.71, 9 Pd 2.76-2.87
Pd13 0.6493 0.6493 0.6297  12 Pd 2.77-2.82
Pd14 0.6520 0.6520 0.3415  12 Pd 2.77-2.87
Pd15 0.7457 0.7457 0.7160  1 Te 2.71, 11 Pd 2.76-2.91
Pd16 0.7508 0.7508 0.4282  12 Pd 2.76-2.80
Pd17 0.8497 0.8497 0.5146  12 Pd 2.76-2.80
Pd18 0.8537 0.8537 0.2203  3 Te 2.69-2.71, 6 Pd 2.79-2.92
Pd19 0.9500 0.9500 0.6010  12 Pd 2.76-2.80
Pd20 0.9530 0.9530 0.3118  12 Pd 2.76-2.92

Calculated values
mass density: 7.516 g/cm³
space group: No. 12


Of them, the most stable is Q and the least stable is P.


P.
An optimized crystal structure of TePd8, computed with GGA-PBE.

a = 4.7856 Å, b = 4.7856 Å, c = 28.0210 Å
α = 90.40°, β = 90.40°, γ = 48.77°
With the nearest neighbours (Å) after each atom.
Fractional coordinates of all 18 atoms:
Te1 0.0562 0.0562 0.2359  6 Pd 2.69-2.72
Te2 0.9438 0.9438 0.7641  6 Pd 2.69-2.72
Pd1 0.0535 0.0535 0.5471  12 Pd 2.75-2.79
Pd2 0.1507 0.1507 0.3276  1 Te 2.69, 11 Pd 2.75-2.91
Pd3 0.1514 0.1514 0.6422  12 Pd 2.75-2.90
Pd4 0.2461 0.2461 0.4215  12 Pd 2.75-2.81
Pd5 0.2471 0.2471 0.7416  3 Te 2.69-2.72, 6 Pd 2.78-2.91
Pd6 0.3513 0.3513 0.5156  12 Pd 2.74-2.79
Pd7 0.4490 0.4490 0.2932  2 Te 2.72, 9 Pd 2.78-2.85
Pd8 0.4531 0.4531 0.6097  12 Pd 2.77-2.85
Pd9 0.5469 0.5469 0.3903  12 Pd 2.77-2.85
Pd10 0.5510 0.5510 0.7068  2 Te 2.72, 9 Pd 2.78-2.85
Pd11 0.6487 0.6487 0.4844  12 Pd 2.74-2.79
Pd12 0.7529 0.7529 0.2584  3 Te 2.69-2.72, 6 Pd 2.78-2.91
Pd13 0.7539 0.7539 0.5785  12 Pd 2.75-2.81
Pd14 0.8486 0.8486 0.3578  12 Pd 2.75-2.90
Pd15 0.8493 0.8493 0.6724  1 Te 2.69, 11 Pd 2.75-2.91
Pd16 0.9465 0.9465 0.4529  12 Pd 2.75-2.79

Calculated values
mass density: 6.737 g/cm³
space group: No. 12


Q.
An optimized crystal structure of TePd8, computed with GGA-PBE.

a = 7.6171 Å, b = 7.6171 Å, c = 2.9094 Å
α = 90.00°, β = 90.00°, γ = 120.00°
With the nearest neighbours (Å) after each atom.
Fractional coordinates of all 9 atoms:
Te1 0.0000 0.0000 0.0000  9 Pd 2.72-2.77, 2 Te 2.91
Pd1 0.0000 0.3017 0.5000  10 Pd 2.67-2.95, 2 Te 2.72
Pd2 0.0000 0.6359 0.0000  1 Te 2.77, 12 Pd 2.83-2.95
Pd3 0.3017 0.0000 0.5000  10 Pd 2.67-2.95, 2 Te 2.72
Pd4 0.3333 0.6667 0.5000  11 Pd 2.67-2.91
Pd5 0.3641 0.3641 0.0000  1 Te 2.77, 12 Pd 2.83-2.95
Pd6 0.6359 0.0000 0.0000  1 Te 2.77, 12 Pd 2.83-2.95
Pd7 0.6667 0.3333 0.5000  11 Pd 2.67-2.91
Pd8 0.6983 0.6983 0.5000  10 Pd 2.67-2.95, 2 Te 2.72

Calculated values
mass density: 11.120 g/cm³
space group: No. 189


Of them, the most stable is P and the least stable is Q.